# RbPmMnO4 | the Alexandria database | PBE+U | optimized geometry
# - M_tot: 6.0 Bohr magnetons per cell
# - Final energy: -6.79 eV/atom
# - Mass density: 4.46 g/cm3
data_RbPmMnO4
_chemical_formula_sum 'Rb2 Pm2 Mn2 O8'
_cell_length_a 5.990
_cell_length_b 5.941
_cell_length_c 7.749
_cell_angle_alpha 90.00
_cell_angle_beta 109.47
_cell_angle_gamma 90.00
_symmetry_space_group_name_H-M 'P 1 21/m 1'
_symmetry_Int_Tables_number 11
loop_
_symmetry_equiv_pos_as_xyz
'x,y,z'
'-x,-y,-z'
'-x,y+1/2,-z'
'x,-y+1/2,z'
loop_
_atom_site_label
_atom_site_type_symbol
_atom_site_fract_x
_atom_site_fract_y
_atom_site_fract_z
_atom_site_occupancy
Rb1 Rb 0.174 0.250 0.428 1
Pm1 Pm 0.294 0.250 0.960 1
Mn1 Mn 0.260 0.750 0.175 1
O1 O 0.047 0.750 0.950 1
O2 O 0.050 0.750 0.296 1
O3 O 0.474 0.528 0.183 1